{"formula": "KNbBr3", "functional": "PBE", "state": "optimized geometry", "lattice_angstrom": [[4.1407, 2.3906, 6.7320], [-4.1407, 2.3906, 6.7320], [0.0000, -4.7812, 6.7320]], "species": ["K", "K", "Nb", "Nb", "Br", "Br", "Br", "Br", "Br", "Br"], "fractional_positions": [[0.0000, 0.0000, 0.0000], [0.5000, 0.5000, 0.5000], [0.2500, 0.2500, 0.2500], [0.7500, 0.7500, 0.7500], [0.0576, 0.7500, 0.4424], [0.2500, 0.5576, 0.9424], [0.4424, 0.0576, 0.7500], [0.5576, 0.9424, 0.2500], [0.7500, 0.4424, 0.0576], [0.9424, 0.2500, 0.5576]], "e_tot_ev_per_cell": -39.02, "space_group": "R-3c, No. 167", "magnetic_moment_mub_per_cell": 6.0}